(1)
Er2GaCo5B2 | PBE-GGA | relaxed

```
data_Er2GaCo5B2
_chemical_formula_sum 'Er4 Ga2 Co10 B4'
_cell_length_a 8.970
_cell_length_b 8.970
_cell_length_c 3.035
_cell_angle_alpha 90.00
_cell_angle_beta 90.00
_cell_angle_gamma 90.00
_symmetry_space_group_name_H-M 'P 4/m b m'
_symmetry_Int_Tables_number 127
_symmetry_space_group_name_Hall '-P 4 2ab'
loop_
_atom_site_label
_atom_site_fract_x
_atom_site_fract_y
_atom_site_fract_z
Er1 0.178 0.322 0.000
Ga1 0.000 0.000 0.000
Co1 0.000 0.500 0.500
Co2 0.068 0.773 0.500
B1 0.118 0.618 0.000
```

ΔH_f (0 K)	-434	meV/atom

***

(2)
ErMnCoB2 | PBE-GGA | relaxed

```
data_ErMnCoB2
_chemical_formula_sum 'Er2 Mn2 Co2 B4'
_cell_length_a 3.534
_cell_length_b 3.534
_cell_length_c 9.407
_cell_angle_alpha 90.00
_cell_angle_beta 90.00
_cell_angle_gamma 90.00
_symmetry_space_group_name_H-M 'I -4 m 2'
_symmetry_Int_Tables_number 119
_symmetry_space_group_name_Hall 'I -4 -2'
loop_
_atom_site_label
_atom_site_fract_x
_atom_site_fract_y
_atom_site_fract_z
Er1 0.000 0.000 0.000
Mn1 0.000 0.500 0.750
Co1 0.000 0.500 0.250
B1 0.000 0.000 0.366
```

ΔH_f (0 K)	-471	meV/atom

***

(3)
ErCoNiB2 | PBE-GGA | relaxed

```
data_ErCoNiB2
_chemical_formula_sum 'Er2 Co2 Ni2 B4'
_cell_length_a 3.510
_cell_length_b 3.510
_cell_length_c 9.236
_cell_angle_alpha 90.00
_cell_angle_beta 90.00
_cell_angle_gamma 90.00
_symmetry_space_group_name_H-M 'I -4 m 2'
_symmetry_Int_Tables_number 119
_symmetry_space_group_name_Hall 'I -4 -2'
loop_
_atom_site_label
_atom_site_fract_x
_atom_site_fract_y
_atom_site_fract_z
Er1 0.000 0.000 0.000
Co1 0.000 0.500 0.250
Ni1 0.000 0.500 0.750
B1 0.000 0.000 0.368
```

ΔH_f (0 K)	-525	meV/atom

***

(4)
Er2CoNi12B3 | PBE-GGA | relaxed

```
data_Er2CoNi12B3
_chemical_formula_sum 'Er6 Co3 Ni36 B9'
_cell_length_a 7.0781
_cell_length_b 7.0781
_cell_length_c 15.9046
_cell_angle_alpha 90.00
_cell_angle_beta 90.00
_cell_angle_gamma 120.00
_symmetry_space_group_name_H-M 'R -3 m'
_symmetry_Int_Tables_number 166
_symmetry_space_group_name_Hall '-R 3 2"'
loop_
_atom_site_label
_atom_site_fract_x
_atom_site_fract_y
_atom_site_fract_z
Er1 0.0000 0.0000 0.0951
Co1 0.0000 0.0000 0.5000
Ni1 0.0367 0.5184 0.8788
Ni2 0.0696 0.5348 0.3067
B1 0.0000 0.5000 0.0000
```

ΔH_f (0 K)	-17	meV/atom

***

(5)
ErCo3BP | PBE-GGA | relaxed

```
data_ErCo3BP
_chemical_formula_sum 'Er4 Co12 B4 P4'
_cell_length_a 5.397
_cell_length_b 10.727
_cell_length_c 5.268
_cell_angle_alpha 90.00
_cell_angle_beta 90.00
_cell_angle_gamma 90.00
_symmetry_space_group_name_H-M 'C m c m'
_symmetry_Int_Tables_number 63
_symmetry_space_group_name_Hall '-C 2c 2'
loop_
_atom_site_label
_atom_site_fract_x
_atom_site_fract_y
_atom_site_fract_z
Er1 0.000 0.240 0.250
Co1 0.000 0.324 0.750
Co2 0.236 0.000 0.000
B1 0.000 0.496 0.250
P1 0.000 0.127 0.750
```

ΔH_f (0 K)	-527	meV/atom

***

(6)
ErCo2B4Rh2 | PBE-GGA | relaxed

```
data_ErCo2B4Rh2
_chemical_formula_sum 'Er2 Co4 B8 Rh4'
_cell_length_a 5.196
_cell_length_b 5.196
_cell_length_c 7.191
_cell_angle_alpha 90.00
_cell_angle_beta 90.00
_cell_angle_gamma 90.00
_symmetry_space_group_name_H-M 'P 42 m c'
_symmetry_Int_Tables_number 105
loop_
_symmetry_equiv_pos_as_xyz
'x,y,z'
'-y,x,z+1/2'
'-x,-y,z'
'y,-x,z+1/2'
'-x,y,z'
'y,x,z+1/2'
'x,-y,z'
'-y,-x,z+1/2'
loop_
_atom_site_label
_atom_site_fract_x
_atom_site_fract_y
_atom_site_fract_z
Er1 0.000 0.500 0.000
Co1 0.000 0.251 0.350
B1 0.000 0.164 0.648
B2 0.316 0.500 0.337
Rh1 0.247 0.500 0.633
```

ΔH_f (0 K)	-508	meV/atom

***

(7)
ErCoB2Ru | PBE-GGA | relaxed

```
data_ErCoB2Ru
_chemical_formula_sum 'Er2 Co2 B4 Ru2'
_cell_length_a 3.745
_cell_length_b 3.745
_cell_length_c 9.256
_cell_angle_alpha 90.00
_cell_angle_beta 90.00
_cell_angle_gamma 90.00
_symmetry_space_group_name_H-M 'I -4 m 2'
_symmetry_Int_Tables_number 119
_symmetry_space_group_name_Hall 'I -4 -2'
loop_
_atom_site_label
_atom_site_fract_x
_atom_site_fract_y
_atom_site_fract_z
Er1 0.000 0.000 0.000
Co1 0.000 0.500 0.250
B1 0.000 0.000 0.345
Ru1 0.000 0.500 0.750
```

ΔH_f (0 K)	-532	meV/atom

***

(8)
Er2Co3TcB12 | PBE-GGA | relaxed

```
data_Er2Co3TcB12
_chemical_formula_sum 'Er6 Co9 Tc3 B36'
_cell_length_a 5.2915
_cell_length_b 5.2915
_cell_length_c 23.4686
_cell_angle_alpha 90.00
_cell_angle_beta 90.00
_cell_angle_gamma 120.00
_symmetry_space_group_name_H-M 'R -3 m'
_symmetry_Int_Tables_number 166
_symmetry_space_group_name_Hall '-R 3 2"'
loop_
_atom_site_label
_atom_site_fract_x
_atom_site_fract_y
_atom_site_fract_z
Er1 0.0000 0.0000 0.1338
Co1 0.0000 0.5000 0.0000
Tc1 0.0000 0.0000 0.5000
B1 0.0896 0.5448 0.0881
B2 0.1071 0.2142 0.7348
```

ΔH_f (0 K)	65	meV/atom

***

(9)
EuCoB | PBE-GGA | relaxed

```
data_EuCoB
_chemical_formula_sum 'Eu1 Co1 B1'
_cell_length_a 3.5253
_cell_length_b 3.5253
_cell_length_c 4.3453
_cell_angle_alpha 90.00
_cell_angle_beta 90.00
_cell_angle_gamma 120.00
_symmetry_space_group_name_H-M 'P -6 m 2'
_symmetry_Int_Tables_number 187
_symmetry_space_group_name_Hall 'P -6 2'
loop_
_atom_site_label
_atom_site_fract_x
_atom_site_fract_y
_atom_site_fract_z
Eu1 0.0000 0.0000 0.0000
Co1 0.6667 0.3333 0.5000
B1 0.3333 0.6667 0.5000
```

ΔH_f (0 K)	-49	meV/atom

***

Question: Which formula does entry 5 have?
Answer: ErCo3BP

***

Question: Which of these has the highest ΔH_f (0 K)?
Answer: Er2Co3TcB12

***

Question: What is the formula in the seventh record?
Answer: ErCoB2Ru